PrSeN | PBE | optimized geometry

* raw total energy: -6.72 eV/atom
* formation energy from raw total energies: -1.1927 eV per atom
* energy above the lowest structure with this stoichiometry: 0 meV/atom

Unit cell a=9.017 b=4.199 c=8.517 alpha=90.00 beta=103.52 gamma=90.00
Space group P2_1/c (No. 14)
One atom of each set of equivalent atoms:
Pr: 0.162 0.245 0.416 [4 per cell]
Se: 0.183 0.749 0.671 [4 per cell]
N: 0.443 0.067 0.486 [4 per cell]



Pr4Se3N2 | PBE | optimized geometry

* raw total energy: -6.85 eV/atom
* formation energy from raw total energies: -1.7165 eV per atom
* energy above the lowest structure with this stoichiometry: 0 meV/atom

Unit cell a=13.967 b=4.130 c=10.799 alpha=90.00 beta=130.09 gamma=90.00
Space group C2/m (No. 12)
One atom of each set of equivalent atoms:
Pr: 0.113 0.000 0.361 [4 per cell]
Pr: 0.207 0.500 0.148 [4 per cell]
Se: 0.000 0.000 0.000 [2 per cell]
Se: 0.108 0.500 0.770 [4 per cell]
N: 0.210 0.500 0.361 [4 per cell]



Pr3SeN2 | PBE | optimized geometry

* raw total energy: -6.91 eV/atom
* formation energy from raw total energies: -1.1622 eV per atom
* energy above the lowest structure with this stoichiometry: 201 meV/atom

Unit cell a=9.031 b=12.685 c=5.962 alpha=90.00 beta=90.00 gamma=90.00
Space group Cmcm (No. 63)
One atom of each set of equivalent atoms:
Pr: 0.000 0.089 0.250 [4 per cell]
Pr: 0.225 0.392 0.250 [8 per cell]
Se: 0.000 0.254 0.750 [4 per cell]
N: 0.170 0.000 0.000 [8 per cell]



Pr2SeN | PBE | optimized geometry

* raw total energy: -6.61 eV/atom
* formation energy from raw total energies: -1.2724 eV per atom
* energy above the lowest structure with this stoichiometry: 305 meV/atom

Unit cell a=3.7945 b=3.7945 c=21.6224 alpha=90.00 beta=90.00 gamma=120.00
Space group R3m (No. 160, hexagonal axes)
One atom of each set of equivalent atoms:
Pr: 0.0000 0.0000 0.0000 [3 per cell]
Pr: 0.0000 0.0000 0.1443 [3 per cell]
Se: 0.0000 0.0000 0.5715 [3 per cell]
N: 0.0000 0.0000 0.3987 [3 per cell]